Tb6Ir5Au | PBE | relaxed

Summary:
DFT total energy: -7.0742 eV per atom
density of states at the Fermi level: 6.215 states/eV/cell
total magnetic moment: 0.00 μB/f.u.
symmetry: P2/m, No. 10

Cell: 4.8493 7.1068 7.7144 Å, 90.00 109.37 90.00°
Closest atoms and distances in Å follow each position.
Element x y z (fractional)
Au 0.0000 0.0000 0.0000  8 Tb 3.04-3.06, 2 Ir 3.39
Ir 0.6663 0.5000 0.3334  8 Tb 2.96-3.00
Ir 0.3346 0.0000 0.6684  8 Tb 2.99-3.03
Ir 0.0000 0.5000 0.0000  8 Tb 2.97-3.04
Ir 0.6654 0.0000 0.3316  8 Tb 2.99-3.03
Ir 0.3337 0.5000 0.6666  8 Tb 2.96-3.00
Tb 0.8309 0.7478 0.6599  7 Ir 2.96-3.04, 1 Au 3.06
Tb 0.8309 0.2522 0.6599  7 Ir 2.96-3.04, 1 Au 3.06
Tb 0.5000 0.2579 0.0000  6 Ir 2.97-3.03, 2 Au 3.04
Tb 0.5000 0.7421 0.0000  6 Ir 2.97-3.03, 2 Au 3.04
Tb 0.1691 0.7478 0.3401  7 Ir 2.96-3.04, 1 Au 3.06
Tb 0.1691 0.2522 0.3401  7 Ir 2.96-3.04, 1 Au 3.06